Density functional theory data (PBE) for an optimized crystal structure of Cs3Mn2GeBr9.

POSCAR file:
```
Cs3Mn2GeBr9
1.0
7.770 0.000 0.000
-3.885 6.729 0.000
0.000 0.000 9.514
Cs Mn Ge Br
3 2 1 9
Direct
0.000 0.000 0.000 Cs
0.333 0.667 0.667 Cs
0.667 0.333 0.333 Cs
0.333 0.667 0.163 Mn
0.667 0.333 0.837 Mn
0.000 0.000 0.500 Ge
0.000 0.500 0.000 Br
0.171 0.341 0.328 Br
0.171 0.829 0.328 Br
0.341 0.171 0.672 Br
0.500 0.000 0.000 Br
0.500 0.500 0.000 Br
0.659 0.829 0.328 Br
0.829 0.171 0.672 Br
0.829 0.659 0.672 Br
```

***

Density functional theory data (PBE) for an optimized crystal structure of Cs4MnGe3Br12.

POSCAR file:
```
Cs4MnGe3Br12
1.0
-5.566 5.566 5.566
5.566 -5.566 5.566
5.566 5.566 -5.566
Cs Mn Ge Br
4 1 3 12
Direct
0.000 0.000 0.500 Cs
0.000 0.500 0.000 Cs
0.500 0.000 0.000 Cs
0.500 0.500 0.500 Cs
0.000 0.000 0.000 Mn
0.000 0.500 0.500 Ge
0.500 0.000 0.500 Ge
0.500 0.500 0.000 Ge
0.000 0.244 0.244 Br
0.000 0.756 0.756 Br
0.244 0.000 0.244 Br
0.244 0.244 0.000 Br
0.250 0.500 0.750 Br
0.250 0.750 0.500 Br
0.500 0.250 0.750 Br
0.500 0.750 0.250 Br
0.750 0.250 0.500 Br
0.750 0.500 0.250 Br
0.756 0.000 0.756 Br
0.756 0.756 0.000 Br
```

***

Density functional theory data (PBE) for an optimized crystal structure of CsMnGe2Br8.

POSCAR file:
```
CsMnGe2Br8
1.0
7.287 0.000 0.000
3.589 6.459 0.000
0.049 0.133 9.714
Cs Mn Ge Br
1 1 2 8
Direct
0.000 0.000 0.000 Cs
0.000 0.000 0.500 Mn
0.201 0.313 0.345 Ge
0.799 0.687 0.655 Ge
0.078 0.203 0.664 Br
0.161 0.659 0.686 Br
0.301 0.288 0.100 Br
0.341 0.893 0.385 Br
0.659 0.107 0.615 Br
0.699 0.712 0.900 Br
0.839 0.341 0.314 Br
0.922 0.797 0.336 Br
```

***

Density functional theory data (PBE) for an optimized crystal structure of CsGe2BrN.

POSCAR file:
```
CsGe2BrN
1.0
4.496 0.000 0.000
0.000 4.496 0.000
0.000 0.000 9.847
Cs Ge Br N
1 2 1 1
Direct
0.000 0.000 0.000 Cs
0.000 0.500 0.500 Ge
0.500 0.000 0.500 Ge
0.500 0.500 0.000 Br
0.500 0.500 0.500 N
```

***

Density functional theory data (PBE) for an optimized crystal structure of Cs3NaGe2Br9.

POSCAR file:
```
Cs3NaGe2Br9
1.0
7.940 0.000 0.000
-3.970 6.877 0.000
0.000 0.000 9.714
Cs Na Ge Br
3 1 2 9
Direct
0.000 0.000 0.000 Cs
0.333 0.667 0.667 Cs
0.667 0.333 0.333 Cs
0.000 0.000 0.500 Na
0.333 0.667 0.168 Ge
0.667 0.333 0.832 Ge
0.000 0.500 0.000 Br
0.175 0.351 0.324 Br
0.175 0.825 0.324 Br
0.351 0.175 0.676 Br
0.500 0.000 0.000 Br
0.500 0.500 0.000 Br
0.649 0.825 0.324 Br
0.825 0.175 0.676 Br
0.825 0.649 0.676 Br
```

***

Density functional theory data (PBE) for an optimized crystal structure of Cs4NaGe3Br12.

POSCAR file:
```
Cs4NaGe3Br12
1.0
-5.595 5.595 5.595
5.595 -5.595 5.595
5.595 5.595 -5.595
Cs Na Ge Br
4 1 3 12
Direct
0.000 0.000 0.500 Cs
0.000 0.500 0.000 Cs
0.500 0.000 0.000 Cs
0.500 0.500 0.500 Cs
0.000 0.000 0.000 Na
0.000 0.500 0.500 Ge
0.500 0.000 0.500 Ge
0.500 0.500 0.000 Ge
0.000 0.260 0.260 Br
0.000 0.740 0.740 Br
0.250 0.500 0.750 Br
0.250 0.750 0.500 Br
0.260 0.000 0.260 Br
0.260 0.260 0.000 Br
0.500 0.250 0.750 Br
0.500 0.750 0.250 Br
0.740 0.000 0.740 Br
0.740 0.740 0.000 Br
0.750 0.250 0.500 Br
0.750 0.500 0.250 Br
```

***

In g/cm3, the ρ values for the records above are, in order, 4.34 4.25 3.53 3.10 4.03 4.10.
In eV/f.u., the energy relative to the elements, uncorrected values for the records above are, in order, -17.38 -22.40 -9.67 1.31 -17.89 -23.23.